8
Lattice="5.411 0.000 0.000 0.000 4.138 0.000 -0.070 0.000 7.024" Properties=species:S:1:pos:R:3 comment="YErNi2 | OQMD via LeMat-Bulk | GGA-PBE | optimized geometry" sg="P2_1/m (11)" ef_ev_per_atom=-0.47 pbc="T T T"
Ni 3.329 1.034 6.775
Er 4.680 3.103 1.260
Y 1.965 1.034 2.239
Er 0.661 1.034 5.764
Y 3.376 3.103 4.784
Ni 0.629 3.103 3.778
Ni 4.712 1.034 3.245
Ni 2.012 3.103 0.249